DFT (PBE) results for crystalline LaRhSe4 at its relaxed geometry.

Structure (extended XYZ):
```
6
Lattice="0.000 4.030 4.030 4.030 0.000 4.030 4.030 4.030 0.000" Properties=species:S:1:pos:R:3 pbc="T T T"
La 6.046 6.046 6.046
Rh 0.000 0.000 0.000
Se 3.014 5.047 5.047
Se 5.047 5.047 3.014
Se 5.047 3.014 5.047
Se 3.014 3.014 3.014
```

Properties
Density (g cm⁻³): 7.07
SG: F-43m (216)
Total energy (eV per atom): -4.348
Crystal system: cubic
D(E_F) (states/eV per cell): 3.28
ΔE_f (raw) (meV/atom): 21

---

DFT (PBE) results for crystalline HoSi2IrOs at its relaxed geometry.

Structure (extended XYZ):
```
5
Lattice="-1.238 -2.817 2.769 3.947 -1.003 0.744 -1.161 5.270 1.749" Properties=species:S:1:pos:R:3 pbc="T T T"
Ho 0.000 0.000 0.000
Si 1.403 -1.066 2.637
Si 0.145 2.516 2.625
Ir 2.070 1.178 2.125
Os -0.522 0.271 3.137
```

Properties
Density (g cm⁻³): 12.04
SG: I-4m2 (119)
Total energy (eV per atom): -8.026
Crystal system: tetragonal
D(E_F) (states/eV per cell): 2.11
ΔE_f (raw) (meV/atom): -923